[1]
# Pr2TeRh, optimized geometry, DFT GGA-PBE
# - Formation energy (no corrections): -0.979 eV/atom
# - Space-group type: No. 160
# - Energy above the lowest structure with this stoichiometry: 19 meV per atom
data_Pr2TeRh
_symmetry_space_group_name_H-M 'P 1'
_symmetry_Int_Tables_number 1
_symmetry_space_group_name_Hall 'P 1'
_cell_length_a 4.2395
_cell_length_b 4.2395
_cell_length_c 8.0549
_cell_angle_alpha 74.71
_cell_angle_beta 74.71
_cell_angle_gamma 59.97
loop_
_atom_site_label
_atom_site_fract_x
_atom_site_fract_y
_atom_site_fract_z
Rh1 0.6661 0.6661 0.0015
Pr1 0.0704 0.0704 0.7893
Pr2 0.2634 0.2634 0.2102
Te1 0.5001 0.5001 0.4991

=====

[2]
# AcMnBr2, optimized geometry, DFT GGA-PBE
# - Formation energy (no corrections): -0.449 eV/atom
# - Space-group type: No. 166
data_AcMnBr2
_symmetry_space_group_name_H-M 'P 1'
_symmetry_Int_Tables_number 1
_symmetry_space_group_name_Hall 'P 1'
_cell_length_a 3.9129
_cell_length_b 3.9129
_cell_length_c 9.7668
_cell_angle_alpha 78.44
_cell_angle_beta 78.44
_cell_angle_gamma 60.00
loop_
_atom_site_label
_atom_site_fract_x
_atom_site_fract_y
_atom_site_fract_z
Ac1 0.0000 0.0000 0.0000
Br1 0.8866 0.8866 0.3402
Mn1 0.5000 0.5000 0.5000
Br2 0.1134 0.1134 0.6598

=====

[3]
# Pa2FeRu, optimized geometry, DFT GGA-PBE
# - Energy of formation: -112 kJ/mol of formula units
# - Space-group type: No. 166
# - Energy above the lowest structure with this stoichiometry: 0 meV per atom
data_Pa2FeRu
_symmetry_space_group_name_H-M 'P 1'
_symmetry_Int_Tables_number 1
_symmetry_space_group_name_Hall 'P 1'
_cell_length_a 3.8316
_cell_length_b 3.8316
_cell_length_c 6.6761
_cell_angle_alpha 73.32
_cell_angle_beta 73.32
_cell_angle_gamma 60.00
loop_
_atom_site_label
_atom_site_fract_x
_atom_site_fract_y
_atom_site_fract_z
Fe1 0.0000 0.0000 0.0000
Ru1 0.5000 0.5000 0.5000
Pa1 0.7451 0.7451 0.7646
Pa2 0.2549 0.2549 0.2354

=====

[4]
# CaCuAu4, optimized geometry, DFT GGA-PBE
# - Energy of formation: -204 kJ/mol of formula units
# - Space-group type: No. 12
# - Energy above the lowest structure with this stoichiometry: 0 meV per atom
data_CaCuAu4
_symmetry_space_group_name_H-M 'P 1'
_symmetry_Int_Tables_number 1
_symmetry_space_group_name_Hall 'P 1'
_cell_length_a 5.3890
_cell_length_b 6.9166
_cell_length_c 7.5364
_cell_angle_alpha 117.31
_cell_angle_beta 108.15
_cell_angle_gamma 90.00
loop_
_atom_site_label
_atom_site_fract_x
_atom_site_fract_y
_atom_site_fract_z
Ca1 0.8353 0.7882 0.5764
Cu1 0.2613 0.4798 0.9597
Au1 0.4177 0.6802 0.7689
Au2 0.2384 0.6811 0.3622
Au3 0.5823 0.3198 0.2311
Au4 0.7616 0.3189 0.6378
Au5 0.0000 0.8010 0.0000
Ca2 0.1647 0.2118 0.4236
Au6 0.4177 0.0887 0.7689
Au7 0.5823 0.9113 0.2311
Cu2 0.7387 0.5202 0.0403
Au8 0.0000 0.1990 0.0000

=====

[5]
# BeSiS, optimized geometry, DFT GGA-PBE
# - Formation energy (no corrections): -0.267 eV/atom
# - Space-group type: No. 12
data_BeSiS
_symmetry_space_group_name_H-M 'P 1'
_symmetry_Int_Tables_number 1
_symmetry_space_group_name_Hall 'P 1'
_cell_length_a 3.4247
_cell_length_b 3.4247
_cell_length_c 13.3642
_cell_angle_alpha 61.03
_cell_angle_beta 61.03
_cell_angle_gamma 60.18
loop_
_atom_site_label
_atom_site_fract_x
_atom_site_fract_y
_atom_site_fract_z
Si1 0.9659 0.9659 0.2150
S1 0.2920 0.2920 0.4780
Be1 0.0839 0.0839 0.8639
Si2 0.7867 0.7867 0.0923
Be2 0.6695 0.6695 0.4435
S2 0.4615 0.4615 0.8293

=====

[6]
# MgSnRu, optimized geometry, DFT GGA-PBE
# - Energy of formation: -45 kJ/mol of formula units
# - Space-group type: No. 47
data_MgSnRu
_symmetry_space_group_name_H-M 'P 1'
_symmetry_Int_Tables_number 1
_symmetry_space_group_name_Hall 'P 1'
_cell_length_a 4.4159
_cell_length_b 3.0575
_cell_length_c 4.6238
_cell_angle_alpha 90.00
_cell_angle_beta 90.00
_cell_angle_gamma 90.00
loop_
_atom_site_label
_atom_site_fract_x
_atom_site_fract_y
_atom_site_fract_z
Ru1 0.5000 0.0000 0.5000
Mg1 0.5000 0.5000 0.0000
Sn1 0.0000 0.5000 0.5000

=====

[7]
# K2NaLi2F7, optimized geometry, DFT GGA-PBE
# - Formation energy (no corrections): -2.322 eV/atom
# - Space-group type: No. 12
data_K2NaLi2F7
_symmetry_space_group_name_H-M 'P 1'
_symmetry_Int_Tables_number 1
_symmetry_space_group_name_Hall 'P 1'
_cell_length_a 4.0050
_cell_length_b 4.0050
_cell_length_c 10.2903
_cell_angle_alpha 84.27
_cell_angle_beta 84.27
_cell_angle_gamma 88.25
loop_
_atom_site_label
_atom_site_fract_x
_atom_site_fract_y
_atom_site_fract_z
F1 0.7232 0.7232 0.6214
F2 0.8655 0.3556 0.1662
F3 0.3556 0.8655 0.1662
K1 0.7970 0.7970 0.3586
K2 0.2030 0.2030 0.6414
F4 0.2768 0.2768 0.3786
F5 0.1345 0.6444 0.8338
Na1 0.0000 0.0000 0.0000
Li1 0.3635 0.3635 0.1897
F6 0.5000 0.5000 0.0000
Li2 0.6365 0.6365 0.8103
F7 0.6444 0.1345 0.8338

=====

[8]
# TbDy6Tm3Th2, optimized geometry, DFT GGA-PBE
# - Energy of formation: 34 kJ/mol of formula units
# - Space-group type: No. 12
data_TbDy6Tm3Th2
_symmetry_space_group_name_H-M 'P 1'
_symmetry_Int_Tables_number 1
_symmetry_space_group_name_Hall 'P 1'
_cell_length_a 6.1326
_cell_length_b 6.1326
_cell_length_c 11.7224
_cell_angle_alpha 95.01
_cell_angle_beta 95.01
_cell_angle_gamma 119.94
loop_
_atom_site_label
_atom_site_fract_x
_atom_site_fract_y
_atom_site_fract_z
Dy1 0.9160 0.5795 0.7502
Dy2 0.5795 0.9160 0.7502
Tb1 0.0000 0.0000 0.0000
Th1 0.3333 0.6667 0.0000
Dy3 0.2530 0.2530 0.7502
Tm1 0.5000 0.5000 0.5000
Th2 0.6667 0.3333 0.0000
Dy4 0.4205 0.0840 0.2498
Dy5 0.7470 0.7470 0.2498
Dy6 0.0840 0.4205 0.2498
Tm2 0.1665 0.8335 0.5000
Tm3 0.8335 0.1665 0.5000

=====

[9]
# Ag3BAu, optimized geometry, DFT GGA-PBE
# - Energy of formation: 216 kJ/mol of formula units
# - Space-group type: No. 221
# - Energy above the lowest structure with this stoichiometry: 0 meV per atom
data_Ag3BAu
_symmetry_space_group_name_H-M 'P 1'
_symmetry_Int_Tables_number 1
_symmetry_space_group_name_Hall 'P 1'
_cell_length_a 4.3609
_cell_length_b 4.3609
_cell_length_c 4.3609
_cell_angle_alpha 90.00
_cell_angle_beta 90.00
_cell_angle_gamma 90.00
loop_
_atom_site_label
_atom_site_fract_x
_atom_site_fract_y
_atom_site_fract_z
Ag1 0.0000 0.0000 0.5000
Au1 0.5000 0.5000 0.5000
Ag2 0.0000 0.5000 0.0000
B1 0.0000 0.0000 0.0000
Ag3 0.5000 0.0000 0.0000

=====

[10]
# Pm4Sm3ErS8, optimized geometry, DFT GGA-PBE
# - Formation energy (no corrections): -2.015 eV/atom
# - Space-group type: No. 166
data_Pm4Sm3ErS8
_symmetry_space_group_name_H-M 'P 1'
_symmetry_Int_Tables_number 1
_symmetry_space_group_name_Hall 'P 1'
_cell_length_a 8.0049
_cell_length_b 8.0157
_cell_length_c 8.0046
_cell_angle_alpha 119.95
_cell_angle_beta 120.00
_cell_angle_gamma 90.00
loop_
_atom_site_label
_atom_site_fract_x
_atom_site_fract_y
_atom_site_fract_z
S1 0.2508 0.2525 0.5017
Pm1 0.5000 0.0000 0.0000
Pm2 0.5000 0.0000 0.5000
Sm1 0.5000 0.5000 0.5000
Er1 0.0000 0.5000 0.0000
S2 0.7562 0.2578 0.0016
Pm3 0.0000 0.0000 0.5000
S3 0.7492 0.7475 0.4983
Pm4 0.0000 0.0000 0.0000
S4 0.7546 0.7422 0.9984
S5 0.7561 0.2577 0.5123
Sm2 0.0000 0.5000 0.5000
Sm3 0.5000 0.5000 0.0000
S6 0.2438 0.7422 0.9984
S7 0.2454 0.2578 0.0016
S8 0.2439 0.7423 0.4877

=====

[11]
# PuCdAg5, optimized geometry, DFT GGA-PBE
# - Energy of formation: 103 kJ/mol of formula units
# - Space-group type: No. 123
data_PuCdAg5
_symmetry_space_group_name_H-M 'P 1'
_symmetry_Int_Tables_number 1
_symmetry_space_group_name_Hall 'P 1'
_cell_length_a 4.0014
_cell_length_b 4.0014
_cell_length_c 9.6074
_cell_angle_alpha 90.00
_cell_angle_beta 90.00
_cell_angle_gamma 90.00
loop_
_atom_site_label
_atom_site_fract_x
_atom_site_fract_y
_atom_site_fract_z
Pu1 0.0000 0.0000 0.5000
Ag1 0.5000 0.0000 0.2380
Ag2 0.0000 0.5000 0.2380
Ag3 0.0000 0.5000 0.7620
Cd1 0.5000 0.5000 0.0000
Ag4 0.0000 0.0000 0.0000
Ag5 0.5000 0.0000 0.7620

=====

[12]
# Li2PuTlPd2, optimized geometry, DFT GGA-PBE
# - Energy of formation: -178 kJ/mol of formula units
# - Space-group type: No. 164
data_Li2PuTlPd2
_symmetry_space_group_name_H-M 'P 1'
_symmetry_Int_Tables_number 1
_symmetry_space_group_name_Hall 'P 1'
_cell_length_a 4.4526
_cell_length_b 4.4526
_cell_length_c 6.6228
_cell_angle_alpha 90.00
_cell_angle_beta 90.00
_cell_angle_gamma 120.00
loop_
_atom_site_label
_atom_site_fract_x
_atom_site_fract_y
_atom_site_fract_z
Pd1 0.6667 0.3333 0.7708
Pd2 0.3333 0.6667 0.2292
Tl1 0.0000 0.0000 0.5000
Pu1 0.0000 0.0000 0.0000
Li1 0.6667 0.3333 0.3387
Li2 0.3333 0.6667 0.6613

=====

[13]
# LuTaGa2, optimized geometry, DFT GGA-PBE
# - Energy of formation: -35 kJ/mol of formula units
# - Space-group type: No. 166
# - Energy above the lowest structure with this stoichiometry: 136 meV per atom
data_LuTaGa2
_symmetry_space_group_name_H-M 'P 1'
_symmetry_Int_Tables_number 1
_symmetry_space_group_name_Hall 'P 1'
_cell_length_a 3.1650
_cell_length_b 3.1650
_cell_length_c 9.2398
_cell_angle_alpha 80.14
_cell_angle_beta 80.14
_cell_angle_gamma 60.00
loop_
_atom_site_label
_atom_site_fract_x
_atom_site_fract_y
_atom_site_fract_z
Ta1 0.0000 0.0000 0.0000
Ga1 0.2547 0.2547 0.2360
Ga2 0.7453 0.7453 0.7640
Lu1 0.5000 0.5000 0.5000

=====

[14]
# Pm2EuTm, optimized geometry, DFT GGA-PBE
# - Energy of formation: 51 kJ/mol of formula units
# - Space-group type: No. 123
# - Energy above the lowest structure with this stoichiometry: 90 meV per atom
data_Pm2EuTm
_symmetry_space_group_name_H-M 'P 1'
_symmetry_Int_Tables_number 1
_symmetry_space_group_name_Hall 'P 1'
_cell_length_a 3.8587
_cell_length_b 5.9737
_cell_length_c 5.9737
_cell_angle_alpha 90.00
_cell_angle_beta 90.00
_cell_angle_gamma 90.00
loop_
_atom_site_label
_atom_site_fract_x
_atom_site_fract_y
_atom_site_fract_z
Tm1 0.5000 0.0000 0.0000
Pm1 0.0000 0.5000 0.0000
Eu1 0.5000 0.5000 0.5000
Pm2 0.0000 0.0000 0.5000

=====

[15]
# RbGe2Ir, optimized geometry, DFT GGA-PBE
# - Energy of formation: 221 kJ/mol of formula units
# - Space-group type: No. 225
# - Energy above the lowest structure with this stoichiometry: 724 meV per atom
data_RbGe2Ir
_symmetry_space_group_name_H-M 'P 1'
_symmetry_Int_Tables_number 1
_symmetry_space_group_name_Hall 'P 1'
_cell_length_a 4.8057
_cell_length_b 4.8057
_cell_length_c 4.8057
_cell_angle_alpha 60.00
_cell_angle_beta 60.00
_cell_angle_gamma 60.00
loop_
_atom_site_label
_atom_site_fract_x
_atom_site_fract_y
_atom_site_fract_z
Ge1 0.7500 0.7500 0.7500
Rb1 0.0000 0.0000 0.0000
Ir1 0.5000 0.5000 0.5000
Ge2 0.2500 0.2500 0.2500

=====

[16]
# TaBeSe2, optimized geometry, DFT GGA-PBE
# - Formation energy (no corrections): -0.370 eV/atom
# - Space-group type: No. 160
data_TaBeSe2
_symmetry_space_group_name_H-M 'P 1'
_symmetry_Int_Tables_number 1
_symmetry_space_group_name_Hall 'P 1'
_cell_length_a 7.8860
_cell_length_b 7.8860
_cell_length_c 7.8860
_cell_angle_alpha 25.21
_cell_angle_beta 25.21
_cell_angle_gamma 25.21
loop_
_atom_site_label
_atom_site_fract_x
_atom_site_fract_y
_atom_site_fract_z
Ta1 0.4860 0.4860 0.4860
Se1 0.0433 0.0433 0.0433
Be1 0.7449 0.7449 0.7449
Se2 0.2257 0.2257 0.2257

=====

[17]
# Ac2La2Ho7, optimized geometry, DFT GGA-PBE
# - Energy of formation: 147 kJ/mol of formula units
# - Space-group type: No. 71
data_Ac2La2Ho7
_symmetry_space_group_name_H-M 'P 1'
_symmetry_Int_Tables_number 1
_symmetry_space_group_name_Hall 'P 1'
_cell_length_a 3.7347
_cell_length_b 10.7504
_cell_length_c 10.7502
_cell_angle_alpha 67.34
_cell_angle_beta 100.03
_cell_angle_gamma 100.03
loop_
_atom_site_label
_atom_site_fract_x
_atom_site_fract_y
_atom_site_fract_z
Ho1 0.8302 0.0967 0.5642
Ho2 0.8302 0.5642 0.0967
Ho3 0.3875 0.3869 0.3869
Ac1 0.3091 0.8091 0.8091
Ho4 0.1698 0.9033 0.4358
La1 0.5000 0.7460 0.2540
La2 0.5000 0.2540 0.7460
Ho5 0.6125 0.6131 0.6131
Ho6 0.1698 0.4358 0.9033
Ho7 0.0000 0.0000 0.0000
Ac2 0.6909 0.1909 0.1909

=====

[18]
# TbErPdRh, optimized geometry, DFT GGA-PBE
# - Energy of formation: -345 kJ/mol of formula units
# - Space-group type: No. 216
# - Energy above the lowest structure with this stoichiometry: 0 meV per atom
data_TbErPdRh
_symmetry_space_group_name_H-M 'P 1'
_symmetry_Int_Tables_number 1
_symmetry_space_group_name_Hall 'P 1'
_cell_length_a 4.8918
_cell_length_b 4.8918
_cell_length_c 4.8918
_cell_angle_alpha 60.00
_cell_angle_beta 60.00
_cell_angle_gamma 60.00
loop_
_atom_site_label
_atom_site_fract_x
_atom_site_fract_y
_atom_site_fract_z
Rh1 0.5000 0.5000 0.5000
Tb1 0.7500 0.7500 0.7500
Pd1 0.0000 0.0000 0.0000
Er1 0.2500 0.2500 0.2500

=====

[19]
# MnInICl2, optimized geometry, DFT GGA-PBE
# - Formation energy (no corrections): -0.742 eV/atom
# - Space-group type: No. 123
# - Energy above the lowest structure with this stoichiometry: 0 meV per atom
data_MnInICl2
_symmetry_space_group_name_H-M 'P 1'
_symmetry_Int_Tables_number 1
_symmetry_space_group_name_Hall 'P 1'
_cell_length_a 5.0047
_cell_length_b 5.0047
_cell_length_c 5.9259
_cell_angle_alpha 90.00
_cell_angle_beta 90.00
_cell_angle_gamma 90.00
loop_
_atom_site_label
_atom_site_fract_x
_atom_site_fract_y
_atom_site_fract_z
Mn1 0.0000 0.0000 0.0000
In1 0.5000 0.5000 0.5000
I1 0.0000 0.0000 0.5000
Cl1 0.0000 0.5000 0.0000
Cl2 0.5000 0.0000 0.0000

=====

[20]
# Sc2RhPb, optimized geometry, DFT GGA-PBE
# - Energy of formation: -147 kJ/mol of formula units
# - Space-group type: No. 216
data_Sc2RhPb
_symmetry_space_group_name_H-M 'P 1'
_symmetry_Int_Tables_number 1
_symmetry_space_group_name_Hall 'P 1'
_cell_length_a 4.8014
_cell_length_b 4.8014
_cell_length_c 4.8014
_cell_angle_alpha 60.00
_cell_angle_beta 60.00
_cell_angle_gamma 60.00
loop_
_atom_site_label
_atom_site_fract_x
_atom_site_fract_y
_atom_site_fract_z
Sc1 0.0000 0.0000 0.0000
Pb1 0.5000 0.5000 0.5000
Sc2 0.2500 0.2500 0.2500
Rh1 0.7500 0.7500 0.7500